Density functional theory data (PBE-GGA) for a relaxed HfCu2Ru crystal.

a = 3.7377 Å, b = 3.7377 Å, c = 4.1696 Å
α = 90.00°, β = 90.00°, γ = 90.00°
Space group P4/mmm (No. 123)
One atom of each set of equivalent atoms:
Hf  0.0000  0.0000  0.0000
Cu  0.0000  0.5000  0.5000
Ru  0.5000  0.5000  0.0000

Calculated values
Calculated volume   14.563 Å³ per atom
Fermi-level density of states   0.8 states/eV per cell
Crystal system   tetragonal
Formation enthalpy at 0 K   -281 meV/atom

Density functional theory data (PBE-GGA) for a relaxed La8Tl3 crystal.

a = 13.2460 Å, b = 3.9078 Å, c = 15.1408 Å
α = 90.00°, β = 108.09°, γ = 90.00°
Space group C2/m (No. 12)
One atom of each set of equivalent atoms:
La  0.0339  0.0000  0.3295
La  0.1161  0.0000  0.9800
La  0.2044  0.5000  0.8002
La  0.2168  0.0000  0.5955
Tl  0.0000  0.5000  0.5000
Tl  0.0761  0.5000  0.1640

Calculated values
Calculated volume   33.863 Å³ per atom
Fermi-level density of states   30.7 states/eV per cell
Crystal system   monoclinic
Formation enthalpy at 0 K   -227 meV/atom

Density functional theory data (PBE-GGA) for a relaxed Sm3Ho2Sc2 crystal.

a = 5.2348 Å, b = 23.5016 Å, c = 3.4587 Å
α = 90.00°, β = 90.00°, γ = 90.00°
Space group Cmmm (No. 65)
One atom of each set of equivalent atoms:
Sm  0.0000  0.0000  0.0000
Sm  0.0000  0.1566  0.0000
Ho  0.0000  0.4256  0.5000
Sc  0.0000  0.2841  0.5000

Calculated values
Calculated volume   30.394 Å³ per atom
Fermi-level density of states   20.6 states/eV per cell
Crystal system   orthorhombic
Formation enthalpy at 0 K   42 meV/atom

Density functional theory data (PBE-GGA) for a relaxed CeTc2Os crystal.

a = 4.6816 Å, b = 4.6819 Å, c = 17.4350 Å
α = 90.00°, β = 90.00°, γ = 90.00°
Space group Pmma (No. 51)
One atom of each set of equivalent atoms:
Ce  0.2500  0.0000  0.1249
Ce  0.2500  0.5000  0.3747
Tc  0.0000  0.0000  0.5000
Tc  0.0000  0.5000  0.0000
Tc  0.2500  0.2500  0.7501
Os  0.2500  0.0000  0.6251
Os  0.2500  0.5000  0.8750

Calculated values
Calculated volume   23.885 Å³ per atom
Fermi-level density of states   31.2 states/eV per cell
Crystal system   orthorhombic
Formation enthalpy at 0 K   780 meV/atom

Density functional theory data (PBE-GGA) for a relaxed Pm2AlAu7 crystal.

a = 9.9376 Å, b = 9.9376 Å, c = 9.9376 Å
α = 90.00°, β = 90.00°, γ = 90.00°
Space group Fm-3m (No. 225)
One atom of each set of equivalent atoms:
Pm  0.2500  0.2500  0.2500
Al  0.0000  0.0000  0.0000
Au  0.0000  0.0000  0.2397
Au  0.0000  0.0000  0.5000

Calculated values
Calculated volume   24.535 Å³ per atom
Fermi-level density of states   22.4 states/eV per cell
Crystal system   cubic
Formation enthalpy at 0 K   -201 meV/atom

Density functional theory data (PBE-GGA) for a relaxed LiCrFe2 crystal.

a = 2.8272 Å, b = 3.9830 Å, c = 8.3631 Å
α = 90.00°, β = 90.00°, γ = 90.00°
Space group Cmmm (No. 65)
One atom of each set of equivalent atoms:
Li  0.0000  0.0000  0.0000
Cr  0.0000  0.0000  0.5000
Fe  0.0000  0.5000  0.2638

Calculated values
Calculated volume   11.772 Å³ per atom
Fermi-level density of states   8.3 states/eV per cell
Crystal system   orthorhombic
Formation enthalpy at 0 K   191 meV/atom

Density functional theory data (PBE-GGA) for a relaxed YErGaPd crystal.

a = 7.0797 Å, b = 7.0797 Å, c = 7.0797 Å
α = 90.00°, β = 90.00°, γ = 90.00°
Space group F-43m (No. 216)
One atom of each set of equivalent atoms:
Y  0.0000  0.0000  0.0000
Er  0.0000  0.0000  0.5000
Ga  0.2500  0.2500  0.2500
Pd  0.2500  0.2500  0.7500

Calculated values
Calculated volume   22.178 Å³ per atom
Fermi-level density of states   13.5 states/eV per cell
Crystal system   cubic
Formation enthalpy at 0 K   -722 meV/atom

Density functional theory data (PBE-GGA) for a relaxed K2OsW crystal.

a = 7.6395 Å, b = 7.6395 Å, c = 7.6395 Å
α = 90.00°, β = 90.00°, γ = 90.00°
Space group Fm-3m (No. 225)
One atom of each set of equivalent atoms:
K  0.2500  0.2500  0.2500
Os  0.0000  0.0000  0.0000
W  0.0000  0.0000  0.5000

Calculated values
Calculated volume   27.866 Å³ per atom
Fermi-level density of states   44.9 states/eV per cell
Crystal system   cubic
Formation enthalpy at 0 K   2759 meV/atom

Density functional theory data (PBE-GGA) for a relaxed CdCoPt3 crystal.

a = 4.5985 Å, b = 4.5985 Å, c = 4.5985 Å
α = 90.00°, β = 90.00°, γ = 90.00°
Space group Pm-3m (No. 221)
One atom of each set of equivalent atoms:
Cd  0.0000  0.0000  0.0000
Co  0.5000  0.5000  0.5000
Pt  0.0000  0.5000  0.5000

Calculated values
Calculated volume   19.448 Å³ per atom
Fermi-level density of states   4.3 states/eV per cell
Crystal system   cubic
Formation enthalpy at 0 K   666 meV/atom

Density functional theory data (PBE-GGA) for a relaxed CaMgTcCl2 crystal.

a = 5.0757 Å, b = 5.0757 Å, c = 7.5553 Å
α = 90.00°, β = 90.00°, γ = 90.00°
Space group P4/mmm (No. 123)
One atom of each set of equivalent atoms:
Ca  0.0000  0.0000  0.0000
Mg  0.0000  0.0000  0.5000
Tc  0.5000  0.5000  0.5000
Cl  0.0000  0.5000  0.0000

Calculated values
Calculated volume   38.929 Å³ per atom
Fermi-level density of states   3.0 states/eV per cell
Formation energy without anion corrections   0.059 eV per atom
Crystal system   tetragonal

Density functional theory data (PBE-GGA) for a relaxed TbHf3Zr2N6 crystal.

a = 5.6375 Å, b = 9.7725 Å, c = 5.7017 Å
α = 90.00°, β = 109.14°, γ = 90.00°
Space group C2/m (No. 12)
One atom of each set of equivalent atoms:
Tb  0.0000  0.0000  0.0000
Hf  0.0000  0.1667  0.5000
Hf  0.0000  0.5000  0.5000
Zr  0.0000  0.3328  0.0000
N  0.2407  0.3312  0.7295
N  0.2494  0.0000  0.7329

Calculated values
Calculated volume   12.365 Å³ per atom
Fermi-level density of states   6.7 states/eV per cell
Formation energy without anion corrections   -1.736 eV per atom
Crystal system   monoclinic

Density functional theory data (PBE-GGA) for a relaxed ScHg2Mo crystal.

a = 4.1515 Å, b = 4.1515 Å, c = 9.1097 Å
α = 90.00°, β = 90.00°, γ = 90.00°
Space group I-4m2 (No. 119)
One atom of each set of equivalent atoms:
Sc  0.0000  0.0000  0.0000
Hg  0.0000  0.0000  0.5000
Hg  0.0000  0.5000  0.7500
Mo  0.0000  0.5000  0.2500

Calculated values
Calculated volume   19.625 Å³ per atom
Fermi-level density of states   9.0 states/eV per cell
Crystal system   tetragonal
Formation enthalpy at 0 K   220 meV/atom

Density functional theory data (PBE-GGA) for a relaxed Sc2Ga3Ru4 crystal.

a = 7.9982 Å, b = 4.3436 Å, c = 8.0887 Å
α = 90.00°, β = 97.48°, γ = 90.00°
Space group C2/m (No. 12)
One atom of each set of equivalent atoms:
Sc  0.1912  0.0000  0.2239
Ga  0.0000  0.5000  0.0000
Ga  0.1427  0.0000  0.5825
Ru  0.0400  0.5000  0.3560
Ru  0.1495  0.0000  0.8936

Calculated values
Calculated volume   15.479 Å³ per atom
Fermi-level density of states   11.7 states/eV per cell
Crystal system   monoclinic
Formation enthalpy at 0 K   -466 meV/atom

Density functional theory data (PBE-GGA) for a relaxed SrAcYTl crystal.

a = 8.3265 Å, b = 8.3265 Å, c = 8.3265 Å
α = 90.00°, β = 90.00°, γ = 90.00°
Space group F-43m (No. 216)
One atom of each set of equivalent atoms:
Sr  0.0000  0.0000  0.0000
Ac  0.2500  0.2500  0.7500
Y  0.0000  0.0000  0.5000
Tl  0.2500  0.2500  0.2500

Calculated values
Calculated volume   36.080 Å³ per atom
Fermi-level density of states   26.9 states/eV per cell
Crystal system   cubic
Formation enthalpy at 0 K   101 meV/atom

Density functional theory data (PBE-GGA) for a relaxed RbYHo4Se8 crystal.

a = 8.5973 Å, b = 8.5973 Å, c = 21.1867 Å
α = 90.00°, β = 90.00°, γ = 120.00°
Space group R3m (No. 160, hexagonal axes)
One atom of each set of equivalent atoms:
Rb  0.0000  0.0000  0.0000
Y  0.0000  0.0000  0.6319
Ho  0.0000  0.0000  0.2520
Ho  0.1729  0.3457  0.4584
Se  0.0000  0.0000  0.3839
Se  0.0000  0.0000  0.8581
Se  0.0461  0.5231  0.3834
Se  0.1761  0.3523  0.2075

Calculated values
Calculated volume   32.290 Å³ per atom
Fermi-level density of states   0.0 states/eV per cell
Formation energy without anion corrections   -1.715 eV per atom
Crystal system   trigonal

Density functional theory data (PBE-GGA) for a relaxed Ca2Tl5In2 crystal.

a = 15.9102 Å, b = 8.9712 Å, c = 7.9167 Å
α = 90.00°, β = 90.00°, γ = 90.00°
Space group Ima2 (No. 46)
One atom of each set of equivalent atoms:
Ca  0.1276  0.0394  0.0000
Tl  0.0285  0.1704  0.3362
Tl  0.1505  0.6982  0.1314
Tl  0.2500  0.1750  0.6831
In  0.0000  0.0000  0.6804
In  0.2500  0.5130  0.8409

Calculated values
Calculated volume   31.388 Å³ per atom
Fermi-level density of states   20.0 states/eV per cell
Crystal system   orthorhombic
Formation enthalpy at 0 K   -77 meV/atom

Density functional theory data (PBE-GGA) for a relaxed K3Th2AgSe6 crystal.

a = 7.4746 Å, b = 12.9800 Å, c = 8.0669 Å
α = 90.00°, β = 107.72°, γ = 90.00°
Space group C2/m (No. 12)
One atom of each set of equivalent atoms:
K  0.0000  0.0000  0.0000
K  0.0000  0.3406  0.0000
Th  0.0000  0.1675  0.5000
Ag  0.0000  0.5000  0.5000
Se  0.2241  0.0000  0.7070
Se  0.2449  0.3254  0.7120

Calculated values
Calculated volume   31.063 Å³ per atom
Fermi-level density of states   0.0 states/eV per cell
Formation energy without anion corrections   -1.410 eV per atom
Crystal system   monoclinic

Density functional theory data (PBE-GGA) for a relaxed Pm2ZrV crystal.

a = 3.3172 Å, b = 3.3172 Å, c = 33.7060 Å
α = 90.00°, β = 90.00°, γ = 120.00°
Space group R-3m (No. 166, hexagonal axes)
One atom of each set of equivalent atoms:
Pm  0.0000  0.0000  0.0847
Zr  0.0000  0.0000  0.5000
V  0.0000  0.0000  0.0000

Calculated values
Calculated volume   26.767 Å³ per atom
Fermi-level density of states   17.6 states/eV per cell
Crystal system   trigonal
Formation enthalpy at 0 K   653 meV/atom

Density functional theory data (PBE-GGA) for a relaxed BaLiCd crystal.

a = 8.0640 Å, b = 8.0640 Å, c = 8.0640 Å
α = 90.00°, β = 90.00°, γ = 90.00°
Space group F-43m (No. 216)
One atom of each set of equivalent atoms:
Ba  0.0000  0.0000  0.0000
Li  0.2500  0.2500  0.7500
Cd  0.2500  0.2500  0.2500

Calculated values
Calculated volume   43.698 Å³ per atom
Fermi-level density of states   12.5 states/eV per cell
Crystal system   cubic
Formation enthalpy at 0 K   237 meV/atom

Density functional theory data (PBE-GGA) for a relaxed Ac2YSbO6 crystal.

a = 6.6829 Å, b = 8.4431 Å, c = 6.0119 Å
α = 90.00°, β = 90.00°, γ = 90.00°
Space group Pmmn (No. 59, origin choice 2)
One atom of each set of equivalent atoms:
Ac  0.2500  0.0031  0.2336
Y  0.2500  0.7500  0.7222
Sb  0.2500  0.2500  0.7829
O  0.0524  0.2500  0.0803
O  0.0543  0.7500  0.4174
O  0.2500  0.5056  0.8387

Calculated values
Calculated volume   16.961 Å³ per atom
Formation energy without anion corrections   -2.601 eV per atom
Crystal system   orthorhombic